An optimized crystal structure of YTiSbTe2, computed with GGA-PBE.

Cell lengths 5.3018, 5.3018, 5.3416 Å; angles 90.00, 90.00, 90.00 degrees
Last column: nearest neighbours and their distance in Å.
Atoms (fractional coordinates):
Y 0.5000 0.5000 0.5000  4 Sb 3.75, 8 Te 3.76
Sb 0.0000 0.0000 0.5000  2 Ti 2.67
Ti 0.0000 0.0000 0.0000  4 Te 2.65, 2 Sb 2.67
Te 0.0000 0.5000 0.0000  2 Ti 2.65
Te 0.5000 0.0000 0.0000  2 Ti 2.65

Properties
energy relative to the lowest polymorph listed for this composition: 0.000 eV per atom
energy relative to the elements, uncorrected: -289 meV per atom
DFT total energy: -26.21 eV/cell
M_tot: 0.00 μB/cell

An optimized crystal structure of AlSb3, computed with GGA-PBE.

Cell lengths 6.6701, 6.6701, 10.6184 Å; angles 90.00, 90.00, 120.00 degrees
Last column: nearest neighbours and their distance in Å.
Atoms (fractional coordinates):
Sb 0.8423 0.6846 0.2500  8 Sb 3.16-3.51, 4 Al 3.22-3.34
Sb 0.0000 0.5000 0.0000  4 Al 3.28-3.34, 8 Sb 3.31-3.34
Al 0.6667 0.3333 0.7500  12 Sb 3.28-3.34
Sb 0.5000 0.0000 0.0000  4 Al 3.28-3.34, 8 Sb 3.31-3.34
Sb 0.8423 0.1577 0.2500  8 Sb 3.16-3.51, 4 Al 3.22-3.34
Sb 0.1577 0.8423 0.7500  8 Sb 3.16-3.51, 4 Al 3.22-3.34
Al 0.0000 0.0000 0.0000  12 Sb 3.22-3.34
Sb 0.5000 0.5000 0.5000  4 Al 3.28-3.34, 8 Sb 3.31-3.34
Sb 0.0000 0.5000 0.5000  4 Al 3.28-3.34, 8 Sb 3.31-3.34
Sb 0.5000 0.5000 0.0000  4 Al 3.28-3.34, 8 Sb 3.31-3.34
Sb 0.1577 0.3154 0.7500  8 Sb 3.16-3.51, 4 Al 3.22-3.34
Al 0.3333 0.6667 0.2500  12 Sb 3.28-3.34
Al 0.0000 0.0000 0.5000  12 Sb 3.22-3.34
Sb 0.5000 0.0000 0.5000  4 Al 3.28-3.34, 8 Sb 3.31-3.34
Sb 0.6846 0.8423 0.7500  8 Sb 3.16-3.51, 4 Al 3.22-3.34
Sb 0.3154 0.1577 0.2500  8 Sb 3.16-3.51, 4 Al 3.22-3.34

Properties
energy relative to the lowest polymorph listed for this composition: 0.219 eV per atom
energy relative to the elements, uncorrected: 271 meV per atom
DFT total energy: -60.10 eV/cell
M_tot: 0.00 μB/cell

An optimized crystal structure of TcSN2F, computed with GGA-PBE.

Cell lengths 3.9003, 3.9003, 4.1036 Å; angles 90.00, 90.00, 90.00 degrees
Last column: nearest neighbours and their distance in Å.
Atoms (fractional coordinates):
S 0.5000 0.5000 0.5000  4 F 2.76, 8 N 2.83
F 0.0000 0.0000 0.5000  2 Tc 2.05
N 0.5000 0.0000 0.0000  2 Tc 1.95
Tc 0.0000 0.0000 0.0000  4 N 1.95, 2 F 2.05
N 0.0000 0.5000 0.0000  2 Tc 1.95

Properties
energy relative to the lowest polymorph listed for this composition: 0.053 eV per atom
energy relative to the elements, uncorrected: 629 meV per atom
DFT total energy: -29.87 eV/cell
M_tot: 0.69 μB/cell

An optimized crystal structure of Nd2DyHfN4, computed with GGA-PBE.

Cell lengths 3.4566, 6.0037, 6.0738 Å; angles 108.99, 90.00, 90.00 degrees
Last column: nearest neighbours and their distance in Å.
Atoms (fractional coordinates):
Nd 0.5000 0.0000 0.5000  6 N 2.51
Nd 0.0000 0.5000 0.5000  6 N 2.60-2.62
N 0.5000 0.7731 0.7813  2 Hf 2.33, 1 Dy 2.42, 3 Nd 2.51-2.60
N 0.0000 0.2422 0.7750  1 Hf 2.30, 2 Dy 2.42, 2 Nd 2.51
N 0.5000 0.2269 0.2187  2 Hf 2.33, 1 Dy 2.42, 3 Nd 2.51-2.60
N 0.0000 0.7578 0.2250  1 Hf 2.30, 2 Dy 2.42, 2 Nd 2.51
Hf 0.0000 0.0000 0.0000  6 N 2.30-2.33
Dy 0.5000 0.5000 0.0000  6 N 2.42

Properties
energy relative to the elements, uncorrected: -1566 meV per atom
DFT total energy: -69.92 eV/cell
M_tot: 0.00 μB/cell

An optimized crystal structure of ErB4Ir4, computed with GGA-PBE.

Cell lengths 5.3984, 5.3984, 7.4586 Å; angles 90.00, 90.00, 90.00 degrees
Last column: nearest neighbours and their distance in Å.
Atoms (fractional coordinates):
Ir 0.5000 0.7491 0.1446  5 B 2.22-2.26
B 0.3277 0.0000 0.3468  1 B 1.86
Ir 0.5000 0.2509 0.1446  5 B 2.22-2.26
Ir 0.0000 0.2491 0.3554  5 B 2.22-2.26
Er 0.5000 0.5000 0.5000  12 Ir 2.97-3.21, 12 B 3.08-3.13
B 0.8277 0.5000 0.1532  1 B 1.86
B 0.0000 0.6723 0.6532  1 B 1.86
Ir 0.0000 0.7509 0.3554  5 B 2.22-2.26
Ir 0.7491 0.5000 0.8554  5 B 2.22-2.26
Er 0.0000 0.0000 0.0000  12 Ir 2.97-3.21, 12 B 3.08-3.13
B 0.6723 0.0000 0.3468  1 B 1.86
B 0.0000 0.3277 0.6532  1 B 1.86
Ir 0.2491 0.0000 0.6446  5 B 2.22-2.26
B 0.5000 0.1723 0.8468  1 B 1.86
B 0.1723 0.5000 0.1532  1 B 1.86
Ir 0.2509 0.5000 0.8554  5 B 2.22-2.26
B 0.5000 0.8277 0.8468  1 B 1.86
Ir 0.7509 0.0000 0.6446  5 B 2.22-2.26

Properties
energy relative to the lowest polymorph listed for this composition: 0.039 eV per atom
DFT total energy: -142.48 eV/cell
M_tot: 0.00 μB/cell
formation energy from the elements: -0.502 eV per atom

An optimized crystal structure of CePm3Sc3Se8, computed with GGA-PBE.

Cell lengths 8.0342, 8.0353, 8.1120 Å; angles 119.68, 90.00, 120.00 degrees
Last column: nearest neighbours and their distance in Å.
Atoms (fractional coordinates):
Pm 0.5000 0.5000 0.0000  6 Se 2.95-2.96
Se 0.2581 0.5163 0.2747  3 Sc 2.76, 3 Pm 2.95
Se 0.2593 0.9826 0.7421  2 Sc 2.76, 2 Pm 2.96, 1 Ce 2.96
Se 0.7419 0.4837 0.7253  3 Sc 2.76, 3 Pm 2.95
Ce 0.0000 0.0000 0.5000  6 Se 2.96
Pm 0.0000 0.5000 0.0000  6 Se 2.95-2.96
Sc 0.0000 0.5000 0.5000  6 Se 2.76
Sc 0.5000 0.0000 0.5000  6 Se 2.76
Sc 0.5000 0.5000 0.5000  6 Se 2.76
Se 0.2591 0.5183 0.7418  2 Sc 2.76, 2 Pm 2.96, 1 Ce 2.96
Pm 0.0000 0.0000 0.0000  6 Se 2.95-2.96
Se 0.7407 0.0174 0.2579  2 Sc 2.76, 2 Pm 2.96, 1 Ce 2.96
Se 0.7409 0.4817 0.2582  2 Sc 2.76, 2 Pm 2.96, 1 Ce 2.96
Se 0.2766 0.0174 0.2579  2 Sc 2.76, 2 Pm 2.96, 1 Ce 2.96
Se 0.7234 0.9826 0.7421  2 Sc 2.76, 2 Pm 2.96, 1 Ce 2.96

Properties
energy relative to the elements, uncorrected: -1747 meV per atom
DFT total energy: -93.26 eV/cell
M_tot: 1.42 μB/cell

An optimized crystal structure of CaInAg2, computed with GGA-PBE.

Cell lengths 6.6632, 6.6632, 6.6632 Å; angles 55.55, 152.12, 132.98 degrees
Last column: nearest neighbours and their distance in Å.
Atoms (fractional coordinates):
Ag 0.0000 0.7370 0.7370  1 In 2.79, 1 Ca 3.10, 4 Ag 3.12
Ca 0.0000 0.0000 0.0000  2 Ag 3.10, 4 In 3.10, 2 Ca 3.21
In 0.0000 0.5000 0.5000  2 Ag 2.79, 4 Ca 3.10
Ag 0.0000 0.2630 0.2630  1 In 2.79, 1 Ca 3.10, 4 Ag 3.12

Properties
DFT total energy: -9.94 eV/cell
M_tot: 0.00 μB/cell
formation energy from the elements: 0.125 eV per atom

An optimized crystal structure of Sr2MgSi4Pt3, computed with GGA-PBE.

Cell lengths 4.3077, 4.3077, 10.3562 Å; angles 90.00, 90.00, 90.00 degrees
Last column: nearest neighbours and their distance in Å.
Atoms (fractional coordinates):
Si 0.5000 0.0000 0.6446  3 Pt 2.48-2.62, 2 Mg 2.62
Sr 0.5000 0.0000 0.2443  8 Si 3.26-3.32, 6 Pt 3.32-3.41, 2 Mg 3.41
Si 0.0000 0.0000 0.0000  4 Pt 2.47
Pt 0.0000 0.5000 0.1159  5 Si 2.47-2.48
Sr 0.0000 0.5000 0.7557  8 Si 3.26-3.32, 6 Pt 3.32-3.41, 2 Mg 3.41
Si 0.0000 0.5000 0.3554  3 Pt 2.48-2.62, 2 Mg 2.62
Pt 0.5000 0.0000 0.8841  5 Si 2.47-2.48
Si 0.5000 0.5000 0.0000  4 Pt 2.47
Mg 0.5000 0.5000 0.5000  4 Si 2.62
Pt 0.0000 0.0000 0.5000  4 Si 2.62

Properties
energy relative to the elements, uncorrected: -792 meV per atom
DFT total energy: -52.69 eV/cell
M_tot: 0.00 μB/cell